No. 1
# PBE-GGA K2RbHg, relaxed
data_K2RbHg
_cell_length_a 5.740
_cell_length_b 5.740
_cell_length_c 27.885
_cell_angle_alpha 90.00
_cell_angle_beta 90.00
_cell_angle_gamma 90.00
_symmetry_space_group_name_H-M 'I -4 2 d'
_symmetry_Int_Tables_number 122
_symmetry_space_group_name_Hall 'I -4 2bw'
loop_
_atom_site_label
_atom_site_fract_x
_atom_site_fract_y
_atom_site_fract_z
K1 0.221 0.250 0.125
Rb1 0.000 0.000 0.500
Hg1 0.000 0.000 0.000
# - mass density (g cm⁻³) = 2.63
# - calculated formation energy (eV/f.u.) = -0.063
# - Fermi-level density of states (states/eV/atom) = 0.7708
# - total magnetic moment (μB/atom) = 0.000

***

No. 2
# PBE-GGA K5Rb4Hg6, relaxed
data_K5Rb4Hg6
_cell_length_a 5.273
_cell_length_b 28.304
_cell_length_c 19.141
_cell_angle_alpha 90.00
_cell_angle_beta 90.00
_cell_angle_gamma 90.00
_symmetry_space_group_name_H-M 'C m c 21'
_symmetry_Int_Tables_number 36
_symmetry_space_group_name_Hall 'C 2c -2'
loop_
_atom_site_label
_atom_site_fract_x
_atom_site_fract_y
_atom_site_fract_z
K1 0.000 0.024 0.000
K2 0.000 0.134 0.288
K3 0.000 0.174 0.965
K4 0.000 0.210 0.591
K5 0.000 0.318 0.929
Rb1 0.000 0.306 0.286
Rb2 0.000 0.390 0.620
Rb3 0.000 0.428 0.135
Rb4 0.000 0.476 0.842
Hg1 0.000 0.016 0.199
Hg2 0.000 0.077 0.814
Hg3 0.000 0.100 0.476
Hg4 0.000 0.213 0.146
Hg5 0.000 0.286 0.740
Hg6 0.000 0.405 0.414
# - mass density (g cm⁻³) = 4.05
# - calculated formation energy (eV/f.u.) = -2.599
# - Fermi-level density of states (states/eV/atom) = 0.5312
# - total magnetic moment (μB/atom) = 0.000

***

No. 3
# PBE-GGA KRb3Hg, relaxed
data_KRb3Hg
_cell_length_a 8.128
_cell_length_b 8.128
_cell_length_c 8.128
_cell_angle_alpha 90.00
_cell_angle_beta 90.00
_cell_angle_gamma 90.00
_symmetry_space_group_name_H-M 'P m -3 m'
_symmetry_Int_Tables_number 221
_symmetry_space_group_name_Hall '-P 4 2 3'
loop_
_atom_site_label
_atom_site_fract_x
_atom_site_fract_y
_atom_site_fract_z
K1 0.000 0.000 0.000
Rb1 0.000 0.000 0.500
Hg1 0.500 0.500 0.500
# - mass density (g cm⁻³) = 1.53
# - calculated formation energy (eV/f.u.) = 1.029
# - E above lowest polymorph (eV per atom) = 0.298
# - Fermi-level density of states (states/eV/atom) = 0.8172
# - total magnetic moment (μB/atom) = 0.000

***

No. 4
# PBE-GGA K2Rb5Hg2, relaxed
data_K2Rb5Hg2
_cell_length_a 32.494
_cell_length_b 6.294
_cell_length_c 6.282
_cell_angle_alpha 90.00
_cell_angle_beta 101.12
_cell_angle_gamma 90.00
_symmetry_space_group_name_H-M 'C 1 2/m 1'
_symmetry_Int_Tables_number 12
_symmetry_space_group_name_Hall '-C 2y'
loop_
_atom_site_label
_atom_site_fract_x
_atom_site_fract_y
_atom_site_fract_z
K1 0.249 0.000 0.251
Rb1 0.000 0.000 0.500
Rb2 0.116 0.000 0.120
Rb3 0.117 0.500 0.622
Hg1 0.183 0.000 0.685
# - mass density (g cm⁻³) = 2.39
# - calculated formation energy (eV/f.u.) = -0.523
# - Fermi-level density of states (states/eV/atom) = 0.5990
# - total magnetic moment (μB/atom) = 0.000

***

No. 5
# PBE-GGA K5Rb6Hg, relaxed
data_K5Rb6Hg
_cell_length_a 14.380
_cell_length_b 19.615
_cell_length_c 7.265
_cell_angle_alpha 90.00
_cell_angle_beta 120.27
_cell_angle_gamma 90.00
_symmetry_space_group_name_H-M 'C 1 2/m 1'
_symmetry_Int_Tables_number 12
_symmetry_space_group_name_Hall '-C 2y'
loop_
_atom_site_label
_atom_site_fract_x
_atom_site_fract_y
_atom_site_fract_z
K1 0.000 0.000 0.000
K2 0.000 0.138 0.500
K3 0.000 0.286 0.000
Rb1 0.179 0.500 0.179
Rb2 0.204 0.351 0.704
Hg1 0.000 0.500 0.500
# - mass density (g cm⁻³) = 1.71
# - calculated formation energy (eV/f.u.) = -0.305
# - Fermi-level density of states (states/eV/atom) = 0.7242
# - total magnetic moment (μB/atom) = 0.000

***

No. 6
# PBE-GGA K3Rb3Hg2, relaxed
data_K3Rb3Hg2
_cell_length_a 5.736
_cell_length_b 14.512
_cell_length_c 22.330
_cell_angle_alpha 90.00
_cell_angle_beta 90.00
_cell_angle_gamma 90.00
_symmetry_space_group_name_H-M 'C m c m'
_symmetry_Int_Tables_number 63
_symmetry_space_group_name_Hall '-C 2c 2'
loop_
_atom_site_label
_atom_site_fract_x
_atom_site_fract_y
_atom_site_fract_z
K1 0.000 0.118 0.250
K2 0.000 0.158 0.536
Rb1 0.000 0.171 0.750
Rb2 0.000 0.451 0.611
Hg1 0.000 0.263 0.121
# - mass density (g cm⁻³) = 2.77
# - calculated formation energy (eV/f.u.) = -0.827
# - Fermi-level density of states (states/eV/atom) = 0.6482
# - total magnetic moment (μB/atom) = 0.000

***

No. 7
# PBE-GGA K2RbHg, relaxed
data_K2RbHg
_cell_length_a 9.944
_cell_length_b 11.396
_cell_length_c 7.792
_cell_angle_alpha 90.00
_cell_angle_beta 90.00
_cell_angle_gamma 90.00
_symmetry_space_group_name_H-M 'P n m a'
_symmetry_Int_Tables_number 62
_symmetry_space_group_name_Hall '-P 2ac 2n'
loop_
_atom_site_label
_atom_site_fract_x
_atom_site_fract_y
_atom_site_fract_z
K1 0.172 0.058 0.141
Rb1 0.028 0.250 0.615
Hg1 0.121 0.750 0.928
# - mass density (g cm⁻³) = 2.74
# - calculated formation energy (eV/f.u.) = -0.543
# - Fermi-level density of states (states/eV/atom) = 0.5244
# - total magnetic moment (μB/atom) = 0.000

***

No. 8
# PBE-GGA KRb2Hg2, relaxed
data_KRb2Hg2
_cell_length_a 10.536
_cell_length_b 10.536
_cell_length_c 4.341
_cell_angle_alpha 90.00
_cell_angle_beta 90.00
_cell_angle_gamma 90.00
_symmetry_space_group_name_H-M 'P 4/m b m'
_symmetry_Int_Tables_number 127
_symmetry_space_group_name_Hall '-P 4 2ab'
loop_
_atom_site_label
_atom_site_fract_x
_atom_site_fract_y
_atom_site_fract_z
K1 0.000 0.000 0.000
Rb1 0.139 0.361 0.000
Hg1 0.156 0.656 0.500
# - mass density (g cm⁻³) = 4.21
# - calculated formation energy (eV/f.u.) = -0.558
# - E above lowest polymorph (eV per atom) = 0.081
# - Fermi-level density of states (states/eV/atom) = 0.7607
# - total magnetic moment (μB/atom) = 0.000

***

No. 9
# PBE-GGA K4Rb5Hg3, relaxed
data_K4Rb5Hg3
_cell_length_a 21.339
_cell_length_b 7.029
_cell_length_c 10.391
_cell_angle_alpha 90.00
_cell_angle_beta 111.14
_cell_angle_gamma 90.00
_symmetry_space_group_name_H-M 'C 1 2/m 1'
_symmetry_Int_Tables_number 12
_symmetry_space_group_name_Hall '-C 2y'
loop_
_atom_site_label
_atom_site_fract_x
_atom_site_fract_y
_atom_site_fract_z
K1 0.117 0.000 0.476
K2 0.191 0.000 0.950
Rb1 0.000 0.000 0.000
Rb2 0.068 0.500 0.723
Rb3 0.170 0.500 0.280
Hg1 0.000 0.500 0.000
Hg2 0.236 0.500 0.680
# - mass density (g cm⁻³) = 2.71
# - calculated formation energy (eV/f.u.) = -1.119
# - Fermi-level density of states (states/eV/atom) = 0.5440
# - total magnetic moment (μB/atom) = 0.000

***

No. 10
# PBE-GGA K7Rb2Hg, relaxed
data_K7Rb2Hg
_cell_length_a 14.625
_cell_length_b 14.625
_cell_length_c 14.625
_cell_angle_alpha 90.00
_cell_angle_beta 90.00
_cell_angle_gamma 90.00
_symmetry_space_group_name_H-M 'F m -3 m'
_symmetry_Int_Tables_number 225
_symmetry_space_group_name_Hall '-F 4 2 3'
loop_
_atom_site_label
_atom_site_fract_x
_atom_site_fract_y
_atom_site_fract_z
K1 0.000 0.000 0.000
K2 0.000 0.000 0.270
Rb1 0.250 0.250 0.250
Hg1 0.000 0.000 0.500
# - mass density (g cm⁻³) = 1.37
# - calculated formation energy (eV/f.u.) = 0.298
# - E above lowest polymorph (eV per atom) = 0.066
# - Fermi-level density of states (states/eV/atom) = 0.7593
# - total magnetic moment (μB/atom) = 0.000

***

No. 11
# PBE-GGA K12Rb5Hg3, relaxed
data_K12Rb5Hg3
_cell_length_a 18.7580
_cell_length_b 18.7580
_cell_length_c 4.7374
_cell_angle_alpha 90.00
_cell_angle_beta 90.00
_cell_angle_gamma 120.00
_symmetry_space_group_name_H-M 'P -6 2 m'
_symmetry_Int_Tables_number 189
_symmetry_space_group_name_Hall 'P -6 -2'
loop_
_atom_site_label
_atom_site_fract_x
_atom_site_fract_y
_atom_site_fract_z
K1 0.0000 0.5285 0.0000
K2 0.0000 0.8175 0.0000
K3 0.2105 0.7729 0.5000
Rb1 0.0000 0.2727 0.0000
Rb2 0.3333 0.6667 0.0000
Hg1 0.0000 0.6749 0.5000
# - mass density (g cm⁻³) = 1.72
# - calculated formation energy (eV/f.u.) = -0.055
# - E above lowest polymorph (eV per atom) = 0.000
# - Fermi-level density of states (states/eV/atom) = 0.7333
# - total magnetic moment (μB/atom) = 0.000

***

No. 12
# PBE-GGA K2RbHg2, relaxed
data_K2RbHg2
_cell_length_a 5.607
_cell_length_b 5.607
_cell_length_c 15.000
_cell_angle_alpha 90.00
_cell_angle_beta 90.00
_cell_angle_gamma 90.00
_symmetry_space_group_name_H-M 'I 4/m m m'
_symmetry_Int_Tables_number 139
_symmetry_space_group_name_Hall '-I 4 2'
loop_
_atom_site_label
_atom_site_fract_x
_atom_site_fract_y
_atom_site_fract_z
K1 0.000 0.500 0.250
Rb1 0.000 0.000 0.000
Hg1 0.000 0.000 0.402
# - mass density (g cm⁻³) = 3.98
# - calculated formation energy (eV/f.u.) = -0.775
# - E above lowest polymorph (eV per atom) = 0.038
# - Fermi-level density of states (states/eV/atom) = 0.9408
# - total magnetic moment (μB/atom) = 0.000

***

No. 13
# PBE-GGA K2RbReHg, relaxed
data_K2RbReHg
_cell_length_a 6.460
_cell_length_b 6.460
_cell_length_c 6.689
_cell_angle_alpha 90.00
_cell_angle_beta 90.00
_cell_angle_gamma 90.00
_symmetry_space_group_name_H-M 'P 4/m m m'
_symmetry_Int_Tables_number 123
_symmetry_space_group_name_Hall '-P 4 2'
loop_
_atom_site_label
_atom_site_fract_x
_atom_site_fract_y
_atom_site_fract_z
K1 0.000 0.500 0.000
Rb1 0.000 0.000 0.500
Re1 0.500 0.500 0.500
Hg1 0.000 0.000 0.000
# - mass density (g cm⁻³) = 3.27
# - calculated formation energy (eV/f.u.) = 6.698
# - Fermi-level density of states (states/eV/atom) = 1.4994
# - total magnetic moment (μB/atom) = 0.929

***

No. 14
# PBE-GGA KRbHg2Rh, relaxed
data_KRbHg2Rh
_cell_length_a 5.401
_cell_length_b 5.401
_cell_length_c 5.920
_cell_angle_alpha 90.00
_cell_angle_beta 90.00
_cell_angle_gamma 90.00
_symmetry_space_group_name_H-M 'P 4/m m m'
_symmetry_Int_Tables_number 123
_symmetry_space_group_name_Hall '-P 4 2'
loop_
_atom_site_label
_atom_site_fract_x
_atom_site_fract_y
_atom_site_fract_z
K1 0.000 0.000 0.000
Rb1 0.500 0.500 0.000
Hg1 0.000 0.500 0.500
Rh1 0.500 0.500 0.500
# - mass density (g cm⁻³) = 6.04
# - calculated formation energy (eV/f.u.) = 0.218
# - E above lowest polymorph (eV per atom) = 0.049
# - Fermi-level density of states (states/eV/atom) = 0.3450
# - total magnetic moment (μB/atom) = 0.000

***

No. 15
# PBE-GGA KRbHg2Rh, relaxed
data_KRbHg2Rh
_cell_length_a 5.395
_cell_length_b 5.395
_cell_length_c 5.825
_cell_angle_alpha 90.00
_cell_angle_beta 90.00
_cell_angle_gamma 90.00
_symmetry_space_group_name_H-M 'P 4/m m m'
_symmetry_Int_Tables_number 123
_symmetry_space_group_name_Hall '-P 4 2'
loop_
_atom_site_label
_atom_site_fract_x
_atom_site_fract_y
_atom_site_fract_z
K1 0.000 0.000 0.000
Rb1 0.500 0.500 0.000
Hg1 0.000 0.500 0.500
Rh1 0.000 0.000 0.500
# - mass density (g cm⁻³) = 6.16
# - calculated formation energy (eV/f.u.) = -0.027
# - E above lowest polymorph (eV per atom) = 0.000
# - Fermi-level density of states (states/eV/atom) = 0.2344
# - total magnetic moment (μB/atom) = 0.000

***

No. 16
# PBE-GGA K2RbHgS2, relaxed
data_K2RbHgS2
_cell_length_a 7.280
_cell_length_b 13.795
_cell_length_c 4.915
_cell_angle_alpha 90.00
_cell_angle_beta 90.00
_cell_angle_gamma 90.00
_symmetry_space_group_name_H-M 'P n n m'
_symmetry_Int_Tables_number 58
_symmetry_space_group_name_Hall '-P 2 2n'
loop_
_atom_site_label
_atom_site_fract_x
_atom_site_fract_y
_atom_site_fract_z
K1 0.079 0.217 0.000
Rb1 0.000 0.500 0.500
Hg1 0.000 0.000 0.500
S1 0.233 0.624 0.000
# - mass density (g cm⁻³) = 2.88
# - formation energy (no corrections) (meV/atom) = -713
# - Fermi-level density of states (states/eV/atom) = 0.5349
# - total magnetic moment (μB/atom) = 0.000

***

No. 17
# PBE-GGA KRbHgS2, relaxed
data_KRbHgS2
_cell_length_a 9.220
_cell_length_b 15.791
_cell_length_c 5.457
_cell_angle_alpha 90.00
_cell_angle_beta 90.00
_cell_angle_gamma 90.00
_symmetry_space_group_name_H-M 'C m m e'
_symmetry_Int_Tables_number 67
_symmetry_space_group_name_Hall '-C 2a 2'
loop_
_atom_site_label
_atom_site_fract_x
_atom_site_fract_y
_atom_site_fract_z
K1 0.250 0.000 0.000
Rb1 0.000 0.250 0.271
Hg1 0.000 0.000 0.500
S1 0.000 0.118 0.758
# - mass density (g cm⁻³) = 3.25
# - formation energy (no corrections) (meV/atom) = -778
# - Fermi-level density of states (states/eV/atom) = 0.0000
# - total magnetic moment (μB/atom) = 0.000

***

No. 18
# PBE-GGA KRb2HgS, relaxed
data_KRb2HgS
_cell_length_a 6.455
_cell_length_b 6.455
_cell_length_c 6.087
_cell_angle_alpha 90.00
_cell_angle_beta 90.00
_cell_angle_gamma 90.00
_symmetry_space_group_name_H-M 'P 4/m m m'
_symmetry_Int_Tables_number 123
_symmetry_space_group_name_Hall '-P 4 2'
loop_
_atom_site_label
_atom_site_fract_x
_atom_site_fract_y
_atom_site_fract_z
K1 0.000 0.000 0.000
Rb1 0.000 0.500 0.500
Hg1 0.500 0.500 0.000
S1 0.000 0.000 0.500
# - mass density (g cm⁻³) = 2.90
# - formation energy (no corrections) (meV/atom) = -577
# - Fermi-level density of states (states/eV/atom) = 0.6628
# - total magnetic moment (μB/atom) = 0.000

***

No. 19
# PBE-GGA KRbHgSb, relaxed
data_KRbHgSb
_cell_length_a 8.252
_cell_length_b 8.252
_cell_length_c 8.252
_cell_angle_alpha 90.00
_cell_angle_beta 90.00
_cell_angle_gamma 90.00
_symmetry_space_group_name_H-M 'F -4 3 m'
_symmetry_Int_Tables_number 216
_symmetry_space_group_name_Hall 'F -4 2 3'
loop_
_atom_site_label
_atom_site_fract_x
_atom_site_fract_y
_atom_site_fract_z
K1 0.000 0.000 0.000
Rb1 0.250 0.250 0.750
Hg1 0.000 0.000 0.500
Sb1 0.250 0.250 0.250
# - mass density (g cm⁻³) = 5.28
# - E above lowest polymorph (eV per atom) = 0.000
# - formation energy (no corrections) (meV/atom) = -246
# - Fermi-level density of states (states/eV/atom) = 0.7345
# - total magnetic moment (μB/atom) = 0.000

***

No. 20
# PBE-GGA KRbHg2Sb, relaxed
data_KRbHg2Sb
_cell_length_a 4.943
_cell_length_b 5.501
_cell_length_c 14.721
_cell_angle_alpha 90.00
_cell_angle_beta 90.00
_cell_angle_gamma 90.00
_symmetry_space_group_name_H-M 'I m m 2'
_symmetry_Int_Tables_number 44
_symmetry_space_group_name_Hall 'I 2 -2'
loop_
_atom_site_label
_atom_site_fract_x
_atom_site_fract_y
_atom_site_fract_z
K1 0.000 0.000 0.000
Rb1 0.000 0.500 0.259
Hg1 0.000 0.000 0.473
Hg2 0.000 0.500 0.658
Sb1 0.000 0.500 0.859
# - mass density (g cm⁻³) = 5.37
# - formation energy (no corrections) (meV/atom) = -266
# - Fermi-level density of states (states/eV/atom) = 0.4359
# - total magnetic moment (μB/atom) = 0.000